# 1
CoTc2As: optimized geometry, PBE.

Lattice parameters (Å, degrees): 2.9049 2.9049 6.4831 90.00 90.00 90.00
Atoms (fractional coordinates):
As1 0.0000 0.0000 0.5211
Co1 0.5000 0.5000 0.7229
Tc1 0.0000 0.0000 0.9984
Tc2 0.5000 0.5000 0.2577

Calculated values
ΔE_f = 0.0526 eV/atom
final energy = -0.5931 Ry/atom


# 2
CoTc2As: optimized geometry, PBE.

Lattice parameters (Å, degrees): 5.4390 5.4390 6.4789 65.18 65.18 90.00
Atoms (fractional coordinates):
As1 0.0000 0.0000 0.0000
As2 0.7500 0.2500 0.5000
Co1 0.5000 0.5000 0.0000
Co2 0.2500 0.7500 0.5000
Tc1 0.5958 0.1250 0.2500
Tc2 0.1542 0.6250 0.2500
Tc3 0.3750 0.4042 0.7500
Tc4 0.8750 0.8458 0.7500

Calculated values
ΔE_f = 0.8291 eV/atom
final energy = -0.5360 Ry/atom


# 3
CoTc2As: optimized geometry, PBE.

Lattice parameters (Å, degrees): 5.0701 5.0701 5.0701 145.66 129.74 62.29
Atoms (fractional coordinates):
As1 0.7500 0.2500 0.5000
Co1 0.2500 0.7500 0.5000
Tc1 0.9733 0.9733 0.0000
Tc2 0.5267 0.5267 0.0000

Calculated values
ΔE_f = 0.1548 eV/atom
final energy = -0.5856 Ry/atom


# 4
CoTcAs: optimized geometry, PBE.

Lattice parameters (Å, degrees): 4.9739 4.9737 2.9946 72.48 72.48 35.04
Atoms (fractional coordinates):
As1 0.9963 0.9963 0.0037
Co1 0.3429 0.3429 0.6571
Tc1 0.6608 0.6608 0.3392

Calculated values
ΔE_f = 0.1128 eV/atom
final energy = -0.5337 Ry/atom
excess energy over the best structure of this formula in the dataset = 40 meV/atom


Number 1: volume 55 Å³/cell. Number 2: volume 154 Å³/cell. Number 3: volume 56 Å³/cell. Number 4: volume 40 Å³/cell.